In2OsRu after structural relaxation, computed with GGA-PBE.

Cell: 5.383 5.383 4.866 Å, 109.83 109.83 31.91°
Fractional positions:
In 0.000 0.000 0.000
In 0.212 0.212 0.607
Os 0.755 0.755 0.125
Ru 0.458 0.458 0.485

Output
* SG: No. 8
* offset from the most stable computed form: 46 kJ/mol of formula units
* DOS(E_F): 0.5797 states/eV per atom
* E_form: 0.2749 eV per atom